Material: KCu4Re
Method: DFT, PBE-GGA
State: relaxed

Output
* magnetic moment: 2.32 Bohr magnetons per cell
* space group: F-43m, No. 216
* crystal system: cubic
* calculated total energy: -4.106 eV/atom
* ΔH_f (0 K): 0.883 eV per atom

```
6
Lattice="0.0000 3.5931 3.5931 3.5931 0.0000 3.5931 3.5931 3.5931 0.0000" Properties=species:S:1:pos:R:3 pbc="T T T"
K 0.0000 0.0000 0.0000
Cu 2.7017 2.7017 2.7017
Cu 4.4845 4.4845 2.7017
Cu 4.4845 2.7017 4.4845
Cu 2.7017 4.4845 4.4845
Re 5.3896 5.3896 5.3896
```

Material: KCuRe2
Method: DFT, PBE-GGA
State: relaxed

Output
* magnetic moment: 0.00 Bohr magnetons per cell
* space group: I-42d, No. 122
* crystal system: tetragonal
* calculated total energy: -6.049 eV/atom
* ΔH_f (0 K): 1.474 eV per atom

```
16
Lattice="3.8749 0.0000 0.0000 0.0000 3.8749 0.0000 0.0000 0.0000 20.9585" Properties=species:S:1:pos:R:3 pbc="T T T"
K 0.0000 0.0000 0.0000
K 0.0000 1.9374 5.2396
K 1.9374 0.0000 15.7189
K 1.9374 1.9374 10.4792
Cu 0.0000 0.0000 10.4792
Cu 0.0000 1.9374 15.7189
Cu 1.9374 0.0000 5.2396
Cu 1.9374 1.9374 0.0000
Re 0.7096 2.9061 13.0991
Re 0.9687 0.7096 7.8594
Re 0.9687 1.2278 18.3387
Re 1.2278 2.9061 2.6198
Re 2.6470 0.9687 2.6198
Re 2.9061 2.6470 18.3387
Re 2.9061 3.1653 7.8594
Re 3.1653 0.9687 13.0991
```

Material: KCuRe2
Method: DFT, PBE-GGA
State: relaxed

Output
* magnetic moment: 0.00 Bohr magnetons per cell
* space group: Cmm2, No. 35
* crystal system: orthorhombic
* calculated total energy: -6.750 eV/atom
* ΔH_f (0 K): 0.773 eV per atom

```
8
Lattice="3.0207 0.0000 0.0000 0.0000 4.5504 0.0000 0.0000 0.0000 10.1541" Properties=species:S:1:pos:R:3 pbc="T T T"
K 0.0000 0.0000 0.0000
K 1.5104 2.2752 0.0000
Cu 0.0000 2.2752 2.8761
Cu 1.5104 0.0000 2.8761
Re 0.0000 0.0000 5.0268
Re 0.0000 2.2752 7.1764
Re 1.5104 0.0000 7.1764
Re 1.5104 2.2752 5.0268
```

Material: KCuRe2
Method: DFT, PBE-GGA
State: relaxed

Output
* magnetic moment: 0.00 Bohr magnetons per cell
* space group: I4/mmm, No. 139
* crystal system: tetragonal
* calculated total energy: -6.002 eV/atom
* ΔH_f (0 K): 1.521 eV per atom

```
8
Lattice="3.7113 0.0000 0.0000 0.0000 3.7113 0.0000 0.0000 0.0000 10.5745" Properties=species:S:1:pos:R:3 pbc="T T T"
K 0.0000 0.0000 0.0000
K 1.8556 1.8556 5.2873
Cu 0.0000 0.0000 5.2873
Cu 1.8556 1.8556 0.0000
Re 0.0000 1.8556 2.6436
Re 0.0000 1.8556 7.9309
Re 1.8556 0.0000 2.6436
Re 1.8556 0.0000 7.9309
```

Material: K4CuRe
Method: DFT, PBE-GGA
State: relaxed

Output
* magnetic moment: 4.04 Bohr magnetons per cell
* space group: F-43m, No. 216
* crystal system: cubic
* calculated total energy: -2.007 eV/atom
* ΔH_f (0 K): 1.482 eV per atom

```
6
Lattice="0.0000 5.0212 5.0212 5.0212 0.0000 5.0212 5.0212 5.0212 0.0000" Properties=species:S:1:pos:R:3 pbc="T T T"
K 1.2561 1.2561 1.2561
K 3.7651 3.7651 1.2561
K 3.7651 1.2561 3.7651
K 1.2561 3.7651 3.7651
Cu 5.0212 5.0212 5.0212
Re 7.5317 7.5317 7.5317
```

Material: K2CuReS4
Method: DFT, PBE-GGA
State: relaxed

Output
* magnetic moment: 2.07 Bohr magnetons per cell
* space group: I-4, No. 82
* crystal system: tetragonal
* calculated total energy: -5.029 eV/atom

```
16
Lattice="7.0668 0.0000 0.0000 0.0000 7.0668 0.0000 0.0000 0.0000 8.2133" Properties=species:S:1:pos:R:3 pbc="T T T"
K 0.0000 0.0000 0.0000
K 0.0000 3.5334 2.0533
K 3.5334 0.0000 6.1600
K 3.5334 3.5334 4.1067
Cu 0.0000 0.0000 4.1067
Cu 3.5334 3.5334 0.0000
Re 0.0000 3.5334 6.1600
Re 3.5334 0.0000 2.0533
S 0.9789 5.1664 4.9936
S 1.6330 2.5545 7.3263
S 1.9005 0.9789 3.2197
S 2.5545 5.4339 0.8870
S 4.5124 1.6330 0.8870
S 5.1664 6.0879 3.2197
S 5.4339 4.5124 7.3263
S 6.0879 1.9005 4.9936
```

Q: Number 1 is which compound?
A: KCu4Re